1.
Density functional theory data (PBE-GGA) for Cs2Ag4Sn5 after structural relaxation.

Summary:
Fermi-level density of states, states/eV/cell: 6.670
E_form, eV per atom: 0.017

a = 6.4262 Å, b = 8.0111 Å, c = 8.1252 Å
α = 71.34°, β = 66.71°, γ = 66.35°
Last column: nearest neighbours and their distance in Å.
Positions (direct):
Cs 0.7238 0.1999 0.3524  4 Ag 3.59-3.73, 2 Sn 3.98
Cs 0.2762 0.8001 0.6476  4 Ag 3.59-3.73, 2 Sn 3.98
Ag 0.2453 0.4519 0.0575  1 Ag 2.80, 4 Sn 2.90-2.94
Ag 0.3835 0.0650 0.1680  2 Ag 2.80-2.85, 2 Sn 2.89
Ag 0.7547 0.5481 0.9425  1 Ag 2.80, 4 Sn 2.90-2.94
Ag 0.6165 0.9350 0.8320  2 Ag 2.80-2.85, 2 Sn 2.89
Sn 0.0000 0.5000 0.5000  4 Sn 3.13, 2 Ag 3.39
Sn 0.7132 0.2602 0.8241  4 Ag 2.89-3.15, 2 Sn 3.13-3.14
Sn 0.2868 0.7398 0.1759  4 Ag 2.89-3.15, 2 Sn 3.13-3.14
Sn 0.7975 0.7398 0.1759  4 Ag 2.89-3.15, 2 Sn 3.13-3.14
Sn 0.2025 0.2602 0.8241  4 Ag 2.89-3.15, 2 Sn 3.13-3.14

2.
Density functional theory data (PBE-GGA) for CsAgSn after structural relaxation.

Summary:
Fermi-level density of states, states/eV/cell: 3.694
Energy above the lowest structure with this stoichiometry, meV/atom: 0
E_form, eV per atom: -0.129

a = 4.9253 Å, b = 4.9777 Å, c = 9.9425 Å
α = 75.51°, β = 90.00°, γ = 90.00°
Last column: nearest neighbours and their distance in Å.
Positions (direct):
Ag 0.1238 0.1390 0.0813  4 Sn 2.91
Ag 0.6238 0.6391 0.0812  4 Sn 2.89
Cs 0.6238 0.9805 0.3986  4 Sn 3.83, 4 Ag 3.92-3.94
Cs 0.6238 0.2974 0.7643  4 Sn 3.82, 4 Ag 3.92-3.94
Sn 0.1238 0.5604 0.2385  4 Ag 2.89-2.91, 1 Sn 3.03
Sn 0.1238 0.7176 0.9240  4 Ag 2.89-2.91, 1 Sn 3.03

3.
Density functional theory data (PBE-GGA) for CsAgSn after structural relaxation.

Summary:
Fermi-level density of states, states/eV/cell: 2.081
Energy above the lowest structure with this stoichiometry, meV/atom: 30
E_form, eV per atom: -0.099

a = 4.7582 Å, b = 4.7572 Å, c = 13.4353 Å
α = 75.67°, β = 79.80°, γ = 59.99°
Last column: nearest neighbours and their distance in Å.
Positions (direct):
Cs 0.2715 0.6491 0.8079  3 Sn 3.75
Cs 0.7285 0.3509 0.1921  3 Sn 3.75
Sn 0.9776 0.4334 0.6115  1 Sn 2.90, 3 Ag 2.90
Sn 0.0224 0.5666 0.3885  1 Sn 2.90, 3 Ag 2.90
Ag 0.3412 0.8566 0.4611  3 Sn 2.90, 3 Ag 2.93
Ag 0.6588 0.1434 0.5389  3 Sn 2.90, 3 Ag 2.93

4.
Density functional theory data (PBE-GGA) for CsAgSnTe2 after structural relaxation.

Summary:
ΔE_f (raw), eV per atom: -0.423
Fermi-level density of states, states/eV/cell: 0.310

a = 6.8193 Å, b = 7.4471 Å, c = 9.0174 Å
α = 114.39°, β = 90.00°, γ = 90.00°
Last column: nearest neighbours and their distance in Å.
Positions (direct):
Te 0.7375 0.8802 0.7605  1 Ag 2.66
Te 0.7375 0.6198 0.2395  1 Ag 2.66
Te 0.2625 0.1198 0.2395  1 Ag 2.66
Te 0.2625 0.3802 0.7605  1 Ag 2.66
Sn 0.5000 0.2500 0.0000  4 Te 3.16
Sn 0.5000 0.7500 0.0000  4 Te 3.16
Ag 0.0000 0.0000 0.0000  2 Te 2.66
Ag 0.0000 0.5000 0.0000  2 Te 2.66
Cs 0.7629 0.2500 0.5000  8 Te 4.02-4.30, 2 Ag 4.41
Cs 0.2371 0.7500 0.5000  8 Te 4.02-4.30, 2 Ag 4.41

5.
Density functional theory data (PBE-GGA) for CsAgSnTe6 after structural relaxation.

Summary:
ΔE_f (raw), eV per atom: -0.150
Fermi-level density of states, states/eV/cell: 8.010

a = 10.7636 Å, b = 9.0801 Å, c = 9.9769 Å
α = 117.07°, β = 122.64°, γ = 90.00°
Last column: nearest neighbours and their distance in Å.
Positions (direct):
Te 0.8366 0.0866 0.6733  2 Sn 2.96
Te 0.4134 0.1354 0.2464  1 Ag 2.85, 1 Sn 3.01, 1 Te 3.13
Te 0.5866 0.8646 0.7536  1 Ag 2.85, 1 Sn 3.01, 1 Te 3.13
Te 0.4134 0.6110 0.2464  1 Ag 2.85, 1 Sn 3.01, 1 Te 3.13
Te 0.3639 0.6139 0.7279  2 Ag 2.98, 4 Te 3.13
Te 0.1634 0.9134 0.3267  2 Sn 2.96
Te 0.5866 0.3890 0.7536  1 Ag 2.85, 1 Sn 3.01, 1 Te 3.13
Te 0.6361 0.3861 0.2721  2 Ag 2.98, 4 Te 3.13
Te 0.8329 0.6110 0.2464  1 Ag 2.85, 1 Sn 3.01, 1 Te 3.13
Te 0.8329 0.1354 0.2464  1 Ag 2.85, 1 Sn 3.01, 1 Te 3.13
Te 0.1671 0.3890 0.7536  1 Ag 2.85, 1 Sn 3.01, 1 Te 3.13
Te 0.1671 0.8646 0.7536  1 Ag 2.85, 1 Sn 3.01, 1 Te 3.13
Cs 0.0973 0.3473 0.1947  6 Te 3.69-3.82
Cs 0.9027 0.6527 0.8053  6 Te 3.69-3.82
Sn 0.0000 0.0000 0.5000  6 Te 2.96-3.01
Sn 0.5000 0.0000 0.5000  6 Te 2.96-3.01
Ag 0.5000 0.0000 0.0000  6 Te 2.85-2.98
Ag 0.5000 0.5000 0.0000  6 Te 2.85-2.98

6.
Density functional theory data (PBE-GGA) for CsAgSnTe after structural relaxation.

Summary:
ΔE_f (raw), eV per atom: -0.311
Fermi-level density of states, states/eV/cell: 6.240

a = 4.4420 Å, b = 4.4420 Å, c = 15.2625 Å
α = 90.00°, β = 90.00°, γ = 90.00°
Last column: nearest neighbours and their distance in Å.
Positions (direct):
Sn 0.2500 0.7500 0.5000  4 Sn 3.14
Sn 0.7500 0.2500 0.5000  4 Sn 3.14
Ag 0.2500 0.7500 0.0000  4 Te 2.87, 4 Ag 3.14
Ag 0.7500 0.2500 0.0000  4 Te 2.87, 4 Ag 3.14
Cs 0.7500 0.7500 0.2534  4 Te 3.75
Cs 0.2500 0.2500 0.7466  4 Te 3.75
Te 0.2500 0.2500 0.1187  4 Ag 2.87
Te 0.7500 0.7500 0.8813  4 Ag 2.87

Going through the records in order, we get final energy values of -32.94, -16.19, -16.01, -32.22, -55.81, -24.19 eV/cell.